[1]
Sr2LiLa: single point on PBEsol structure, meta-GGA SCAN.

Unit cell a=6.067 b=6.067 c=6.067 alpha=60.00 beta=60.00 gamma=60.00
Sites, in units of the cell vectors:
La: 0.000 0.000 0.000
Sr: 0.750 0.750 0.750
Li: 0.500 0.500 0.500
Sr: 0.250 0.250 0.250

Properties
ρ = 3.4 Mg/m³
symmetry = Fm-3m
magnetization = 0.10 μB/f.u.
DFT formation energy = 5.624 kcal/mol of atoms

[2]
SrLi2La: single point on PBEsol structure, meta-GGA SCAN.

Unit cell a=3.677 b=5.766 c=6.777 alpha=115.18 beta=105.74 gamma=90.00
Sites, in units of the cell vectors:
Li: 0.968 0.968 0.937
La: 0.725 0.225 0.449
Li: 0.285 0.785 0.570
Sr: 0.522 0.522 0.044

Properties
ρ = 3.2 Mg/m³
symmetry = Imm2
magnetization = 0.43 μB/f.u.
DFT formation energy = 2.829 kcal/mol of atoms

no.,DOS at the Fermi energy (states/eV/atom)
1,0.854
2,0.996